1.
KTa2Rh | PBE-GGA | relaxed

Properties
Energy relative to the lowest polymorph listed for this composition ... 0 meV per atom

Unit cell a=3.128 b=3.127 c=9.808 alpha=71.43 beta=90.00 gamma=90.00
Atoms (fractional coordinates):
K1 0.000 0.466 0.533
Ta1 0.000 0.029 0.972
Ta2 0.500 0.326 0.174
Rh1 0.500 0.679 0.821

***

2.
LaPuRhI | PBE-GGA | relaxed

Properties
Formation energy without anion corrections ... -0.761 eV/atom

Unit cell a=4.111 b=4.111 c=8.583 alpha=90.01 beta=103.86 gamma=119.97
Atoms (fractional coordinates):
Rh1 0.309 0.553 0.877
Pu1 0.094 0.945 0.054
La1 0.508 0.152 0.675
I1 0.967 0.382 0.363